(1)
InGe5Os3 | PBE | optimized geometry

**Crystal system**: hexagonal
**Uncorrected energy**: -6.2154 eV/atom
**Space-group type**: No. 191

Cell: 5.264 5.264 7.578 Å, 90.00 90.00 120.00°
Last column: magnetic moment on the atom in μB.
Atoms (fractional coordinates):
Os 0.500 0.500 0.500  0.44
Ge 0.667 0.333 0.214  -0.01
Ge 0.000 0.000 0.500  0.00
In 0.000 0.000 0.000  0.01
Ge 0.333 0.667 0.786  -0.01
Os 0.000 0.500 0.500  0.22
Ge 0.667 0.333 0.786  0.00
Ge 0.333 0.667 0.214  0.00
Os 0.500 0.000 0.500  0.43

---

(2)
Tm4InGe4Os2 | PBE | optimized geometry

**Crystal system**: monoclinic
**Uncorrected energy**: -6.2592 eV/atom
**Space-group type**: No. 12

Cell: 8.093 8.093 6.945 Å, 106.33 106.33 30.55°
Atoms (fractional coordinates):
Ge 0.065 0.065 0.660
Tm 0.411 0.411 0.609
Tm 0.589 0.589 0.391
Os 0.220 0.220 0.634
Ge 0.935 0.935 0.340
Tm 0.347 0.347 0.068
Os 0.780 0.780 0.366
In 0.000 0.000 0.000
Ge 0.200 0.200 0.257
Ge 0.800 0.800 0.743
Tm 0.653 0.653 0.932

---

(3)
In6Ge2Pd | PBE | optimized geometry

**Crystal system**: hexagonal
**Uncorrected energy**: -3.4822 eV/atom
**Space-group type**: No. 189

Cell: 7.664 7.664 4.180 Å, 90.00 90.00 120.00°
Atoms (fractional coordinates):
Ge 0.333 0.667 0.000
In 0.000 0.387 0.500
Ge 0.667 0.333 0.000
In 0.255 0.255 0.000
In 0.613 0.613 0.500
In 0.000 0.745 0.000
Pd 0.000 0.000 0.500
In 0.387 0.000 0.500
In 0.745 0.000 0.000

---

(4)
InGe5Pd3 | PBE | optimized geometry

**Crystal system**: hexagonal
**Uncorrected energy**: -4.6469 eV/atom
**Space-group type**: No. 191

Cell: 5.442 5.442 6.750 Å, 90.00 90.00 120.00°
Atoms (fractional coordinates):
Pd 0.000 0.500 0.500
Ge 0.667 0.333 0.809
Ge 0.667 0.333 0.191
In 0.000 0.000 0.000
Ge 0.333 0.667 0.191
Ge 0.333 0.667 0.809
Pd 0.500 0.000 0.500
Pd 0.500 0.500 0.500
Ge 0.000 0.000 0.500